No. 1
First-principles (PBE) data for LiLa3 after structural relaxation, as listed in Alexandria.

As for the energy of formation: 0.092 eV per atom.

It has space group Pmm2 (No. 25), with a = 3.6901 Å, b = 5.8129 Å, c = 6.0950 Å, α = 90.00°, β = 90.00° and γ = 90.00°. The asymmetric unit holds Li at (0.0000, 0.0000, 0.0000), La at (0.0000, 0.5000, 0.6565), La at (0.5000, 0.0000, 0.5164) and La at (0.5000, 0.5000, 0.1149).

No. 2
First-principles (PBE) data for Li2La after structural relaxation, as listed in Alexandria.

As for the energy of formation: 0.101 eV per atom.

It has space group I4/mmm (No. 139), with a = 3.6415 Å, b = 3.6415 Å, c = 11.6615 Å, α = 90.00°, β = 90.00° and γ = 90.00°. The asymmetric unit holds Li at (0.0000, 0.0000, 0.1954) and La at (0.0000, 0.0000, 0.5000).

No. 3
First-principles (PBE) data for Li2La after structural relaxation, as listed in Alexandria.

As for the energy of formation: 0.667 eV per atom.

It has space group Pa-3 (No. 205), with a = 7.0970 Å, b = 7.0970 Å, c = 7.0970 Å, α = 90.00°, β = 90.00° and γ = 90.00°. The asymmetric unit holds Li at (0.1019, 0.1019, 0.1019) and La at (0.0000, 0.0000, 0.5000).

No. 4
First-principles (PBE) data for Li3La2 after structural relaxation, as listed in Alexandria.

As for the energy of formation: 0.134 eV per atom.

It has space group R-3m (No. 166, hexagonal axes), with a = 3.5044 Å, b = 3.5044 Å, c = 40.4268 Å, α = 90.00°, β = 90.00° and γ = 120.00°. The asymmetric unit holds Li at (0.0000, 0.0000, 0.0000), Li at (0.0000, 0.0000, 0.1946) and La at (0.0000, 0.0000, 0.4021).

No. 5
First-principles (PBE) data for Li5La after structural relaxation, as listed in Alexandria.

As for the energy of formation: 0.101 eV per atom.

It has space group P-62m (No. 189), with a = 6.0129 Å, b = 6.0129 Å, c = 4.5293 Å, α = 90.00°, β = 90.00° and γ = 120.00°. The asymmetric unit holds Li at (0.0000, 0.5016, 0.0000), Li at (0.3333, 0.6667, 0.5000) and La at (0.0000, 0.0000, 0.5000).

No. 6
First-principles (PBE) data for LiLa3 after structural relaxation, as listed in Alexandria.

As for the energy of formation: 0.127 eV per atom.

It has space group I4/mmm (No. 139), with a = 5.0008 Å, b = 5.0008 Å, c = 10.5088 Å, α = 90.00°, β = 90.00° and γ = 90.00°. The asymmetric unit holds Li at (0.0000, 0.0000, 0.0000), La at (0.0000, 0.0000, 0.5000) and La at (0.0000, 0.5000, 0.2500).

No. 7
First-principles (PBE) data for LiLa after structural relaxation, as listed in Alexandria.

As for the energy of formation: 0.876 eV per atom.

It has space group P6_3/mmc (No. 194), with a = 5.3496 Å, b = 5.3496 Å, c = 6.3825 Å, α = 90.00°, β = 90.00° and γ = 120.00°. The asymmetric unit holds Li at (0.3333, 0.6667, 0.2500) and La at (0.3333, 0.6667, 0.7500).

No. 8
First-principles (PBE) data for LiLa after structural relaxation, as listed in Alexandria.

As for the energy of formation: 0.183 eV per atom.

It has space group P4/mmm (No. 123), with a = 11.8222 Å, b = 11.8222 Å, c = 3.4540 Å, α = 90.00°, β = 90.00° and γ = 90.00°. The asymmetric unit holds Li at (0.1193, 0.1193, 0.0000), Li at (0.2516, 0.2516, 0.5000), La at (0.0000, 0.3706, 0.5000) and La at (0.2592, 0.5000, 0.0000).

No. 9
First-principles (PBE) data for LiLa after structural relaxation, as listed in Alexandria.

As for the energy of formation: 1.277 eV per atom.

It has space group Pm-3n (No. 223), with a = 8.5817 Å, b = 8.5817 Å, c = 8.5817 Å, α = 90.00°, β = 90.00° and γ = 90.00°. The asymmetric unit holds Li at (0.0000, 0.2500, 0.5000) and La at (0.0000, 0.5000, 0.2500).

No. 10
First-principles (PBE) data for LiLa after structural relaxation, as listed in Alexandria.

As for the energy of formation: 0.129 eV per atom.

It has space group Pmma (No. 51), with a = 5.2341 Å, b = 3.6987 Å, c = 5.7296 Å, α = 90.00°, β = 90.00° and γ = 90.00°. The asymmetric unit holds Li at (0.2500, 0.0000, 0.1753) and La at (0.2500, 0.5000, 0.6742).

No. 11
First-principles (PBE) data for LiLa after structural relaxation, as listed in Alexandria.

As for the energy of formation: 0.104 eV per atom.

It has space group P-3m1 (No. 164), with a = 3.5607 Å, b = 3.5607 Å, c = 11.2302 Å, α = 90.00°, β = 90.00° and γ = 120.00°. The asymmetric unit holds Li at (0.3333, 0.6667, 0.1046) and La at (0.3333, 0.6667, 0.6363).

No. 12
First-principles (PBE) data for LiLa3 after structural relaxation, as listed in Alexandria.

As for the energy of formation: 0.125 eV per atom.

It has space group Cmmm (No. 65), with a = 3.7549 Å, b = 5.9659 Å, c = 12.0523 Å, α = 90.00°, β = 90.00° and γ = 90.00°. The asymmetric unit holds Li at (0.0000, 0.0000, 0.0000), La at (0.0000, 0.0000, 0.5000) and La at (0.0000, 0.5000, 0.2380).

No. 13
First-principles (PBE) data for LiLa3 after structural relaxation, as listed in Alexandria.

As for the energy of formation: 0.109 eV per atom.

It has space group Pmmm (No. 47), with a = 3.5579 Å, b = 5.1772 Å, c = 7.1988 Å, α = 90.00°, β = 90.00° and γ = 90.00°. The asymmetric unit holds Li at (0.0000, 0.0000, 0.0000), La at (0.0000, 0.0000, 0.5000) and La at (0.5000, 0.5000, 0.2419).

No. 14
First-principles (PBE) data for LiLa after structural relaxation, as listed in Alexandria.

As for the energy of formation: 0.172 eV per atom.

It has space group Cmcm (No. 63), with a = 3.4054 Å, b = 13.4281 Å, c = 4.7923 Å, α = 90.00°, β = 90.00° and γ = 90.00°. The asymmetric unit holds Li at (0.0000, 0.1865, 0.2500) and La at (0.0000, 0.4316, 0.2500).

No. 15
First-principles (PBE) data for Li2La after structural relaxation, as listed in Alexandria.

As for the energy of formation: 0.109 eV per atom.

It has space group Fd-3m (No. 227, origin choice 2), with a = 8.5809 Å, b = 8.5809 Å, c = 8.5809 Å, α = 90.00°, β = 90.00° and γ = 90.00°. The asymmetric unit holds Li at (0.0000, 0.0000, 0.0000) and La at (0.1250, 0.1250, 0.6250).

No. 16
First-principles (PBE) data for LiLa after structural relaxation, as listed in Alexandria.

As for the energy of formation: 0.154 eV per atom.

It has space group R-3m (No. 166, hexagonal axes), with a = 5.2924 Å, b = 5.2924 Å, c = 13.0590 Å, α = 90.00°, β = 90.00° and γ = 120.00°. The asymmetric unit holds Li at (0.0000, 0.0000, 0.1258) and La at (0.0000, 0.0000, 0.3752).

No. 17
First-principles (PBE) data for LiLa3 after structural relaxation, as listed in Alexandria.

As for the energy of formation: 0.059 eV per atom.

It has space group R-3m (No. 166, hexagonal axes), with a = 3.6736 Å, b = 3.6736 Å, c = 34.9106 Å, α = 90.00°, β = 90.00° and γ = 120.00°. The asymmetric unit holds Li at (0.0000, 0.0000, 0.0000), La at (0.0000, 0.0000, 0.2522) and La at (0.0000, 0.0000, 0.5000).

No. 18
First-principles (PBE) data for LiLa5 after structural relaxation, as listed in Alexandria.

As for the energy of formation: 0.090 eV per atom.

It has space group Cmmm (No. 65), with a = 5.1823 Å, b = 14.9303 Å, c = 5.3239 Å, α = 90.00°, β = 90.00° and γ = 90.00°. The asymmetric unit holds Li at (0.0000, 0.0000, 0.0000), La at (0.0000, 0.1663, 0.5000), La at (0.0000, 0.3311, 0.0000) and La at (0.0000, 0.5000, 0.5000).

No. 19
First-principles (PBE) data for Li7La after structural relaxation, as listed in Alexandria.

As for the energy of formation: 0.181 eV per atom.

It has space group Fm-3m (No. 225), with a = 9.1454 Å, b = 9.1454 Å, c = 9.1454 Å, α = 90.00°, β = 90.00° and γ = 90.00°. The asymmetric unit holds Li at (0.0000, 0.0000, 0.0000), Li at (0.0000, 0.2500, 0.2500) and La at (0.0000, 0.0000, 0.5000).

No. 20
First-principles (PBE) data for LiLa4 after structural relaxation, as listed in Alexandria.

As for the energy of formation: 0.362 eV per atom.

It has space group Pm-3m (No. 221), with a = 5.6418 Å, b = 5.6418 Å, c = 5.6418 Å, α = 90.00°, β = 90.00° and γ = 90.00°. The asymmetric unit holds Li at (0.0000, 0.0000, 0.0000), La at (0.0000, 0.0000, 0.5000) and La at (0.5000, 0.5000, 0.5000).

No. 21
First-principles (PBE) data for Li5La after structural relaxation, as listed in Alexandria.

As for the energy of formation: 0.102 eV per atom.

It has space group Amm2 (No. 38), with a = 5.2809 Å, b = 3.1360 Å, c = 16.9709 Å, α = 90.00°, β = 90.00° and γ = 90.00°. The asymmetric unit holds Li at (0.0000, 0.0000, 0.0000), Li at (0.0000, 0.0000, 0.3011), Li at (0.0000, 0.0000, 0.6462), Li at (0.5000, 0.0000, 0.0943), Li at (0.5000, 0.0000, 0.7388) and La at (0.5000, 0.0000, 0.4165).

No. 22
First-principles (PBE) data for Li4La after structural relaxation, as listed in Alexandria.

As for the energy of formation: 0.963 eV per atom.

It has space group Pm-3m (No. 221), with a = 5.8640 Å, b = 5.8640 Å, c = 5.8640 Å, α = 90.00°, β = 90.00° and γ = 90.00°. The asymmetric unit holds Li at (0.0000, 0.0000, 0.0000), Li at (0.0000, 0.5000, 0.5000) and La at (0.5000, 0.5000, 0.5000).

No. 23
First-principles (PBE) data for LiLa3 after structural relaxation, as listed in Alexandria.

As for the energy of formation: 0.146 eV per atom.

It has space group P6_3/mmc (No. 194), with a = 7.3745 Å, b = 7.3745 Å, c = 5.4399 Å, α = 90.00°, β = 90.00° and γ = 120.00°. The asymmetric unit holds Li at (0.3333, 0.6667, 0.2500) and La at (0.1751, 0.3501, 0.7500).

No. 24
First-principles (PBE) data for LiLa after structural relaxation, as listed in Alexandria.

As for the energy of formation: 0.499 eV per atom.

It has space group Fm-3m (No. 225), with a = 6.4404 Å, b = 6.4404 Å, c = 6.4404 Å, α = 90.00°, β = 90.00° and γ = 90.00°. The asymmetric unit holds Li at (0.0000, 0.0000, 0.0000) and La at (0.0000, 0.0000, 0.5000).

No. 25
First-principles (PBE) data for LiLa after structural relaxation, as listed in Alexandria.

As for the energy of formation: 0.139 eV per atom.

It has space group P2_12_12_1 (No. 19), with a = 6.3801 Å, b = 7.0169 Å, c = 10.2432 Å, α = 90.00°, β = 90.00° and γ = 90.00°. The asymmetric unit holds Li at (0.1351, 0.0606, 0.3271), Li at (0.1809, 0.7576, 0.0640), La at (0.0093, 0.6838, 0.4642) and La at (0.0962, 0.5298, 0.7923).

No. 26
First-principles (PBE) data for Li5La after structural relaxation, as listed in Alexandria.

As for the energy of formation: 0.088 eV per atom.

It has space group C2/m (No. 12), with a = 11.1210 Å, b = 3.3270 Å, c = 8.1279 Å, α = 90.00°, β = 110.77° and γ = 90.00°. The asymmetric unit holds Li at (0.0000, 0.0000, 0.0000), Li at (0.1638, 0.5000, 0.8690), Li at (0.1793, 0.5000, 0.2995) and La at (0.0000, 0.0000, 0.5000).

No. 27
First-principles (PBE) data for LiLa after structural relaxation, as listed in Alexandria.

As for the energy of formation: 0.113 eV per atom.

It has space group Imma (No. 74), with a = 3.6567 Å, b = 5.6415 Å, c = 10.9699 Å, α = 90.00°, β = 90.00° and γ = 90.00°. The asymmetric unit holds Li at (0.0000, 0.2500, 0.1533) and La at (0.0000, 0.2500, 0.6207).